Record 1
This record from Alexandria via LeMat-Bulk describes crystalline LiNi6P2 at its relaxed geometry. The functional is PBE.

CIF file:
```
data_LiNi6P2
_space_group_name_H-M_alt 'P 4/m m m'
_space_group_IT_number 123
_space_group_name_Hall '-P 4 2'
_cell_length_a 3.676
_cell_length_b 3.676
_cell_length_c 7.942
_cell_angle_alpha 90.00
_cell_angle_beta 90.00
_cell_angle_gamma 90.00
loop_
_atom_site_label
_atom_site_type_symbol
_atom_site_fract_x
_atom_site_fract_y
_atom_site_fract_z
Li1 Li 0.000 0.000 0.000
Ni1 Ni 0.000 0.000 0.500
Ni2 Ni 0.000 0.500 0.284
Ni3 Ni 0.500 0.500 0.500
P1 P 0.500 0.500 0.138
```

Output
The calculation puts the density of states at the Fermi level at 10.84 states/eV/f.u. Its formation energy is -0.330 eV per atom. The calculation puts the calculated density at 6513 kg/m3.

***

Record 2
This record from Alexandria via LeMat-Bulk describes crystalline Li3Ni4P4 at its relaxed geometry. The functional is PBE.

CIF file:
```
data_Li3Ni4P4
_space_group_name_H-M_alt 'I m m m'
_space_group_IT_number 71
_space_group_name_Hall '-I 2 2'
_cell_length_a 3.682
_cell_length_b 6.349
_cell_length_c 11.740
_cell_angle_alpha 90.00
_cell_angle_beta 90.00
_cell_angle_gamma 90.00
loop_
_atom_site_label
_atom_site_type_symbol
_atom_site_fract_x
_atom_site_fract_y
_atom_site_fract_z
Li1 Li 0.000 0.000 0.000
Li2 Li 0.000 0.500 0.120
Ni1 Ni 0.000 0.302 0.325
P1 P 0.000 0.000 0.226
P2 P 0.000 0.174 0.500
```

Output
The calculation puts the density of states at the Fermi level at 3.76 states/eV/f.u. Its formation energy is -0.633 eV per atom. The calculation puts the calculated density at 4592 kg/m3. The calculation puts the energy above the most stable polymorph in this dataset at 0 meV per atom.

***

Record 3
This record from Alexandria via LeMat-Bulk describes crystalline Li3Ni7P4 at its relaxed geometry. The functional is PBE.

CIF file:
```
data_Li3Ni7P4
_space_group_name_H-M_alt 'C 1 2/m 1'
_space_group_IT_number 12
_space_group_name_Hall '-C 2y'
_cell_length_a 13.626
_cell_length_b 3.598
_cell_length_c 8.288
_cell_angle_alpha 90.00
_cell_angle_beta 123.68
_cell_angle_gamma 90.00
loop_
_atom_site_label
_atom_site_type_symbol
_atom_site_fract_x
_atom_site_fract_y
_atom_site_fract_z
Li1 Li 0.000 0.000 0.000
Li2 Li 0.175 0.500 0.675
Ni1 Ni 0.000 0.000 0.500
Ni2 Ni 0.011 0.500 0.285
Ni3 Ni 0.171 0.000 0.428
Ni4 Ni 0.192 0.500 0.028
P1 P 0.109 0.000 0.821
P2 P 0.166 0.500 0.268
```

Output
The calculation puts the density of states at the Fermi level at 6.99 states/eV/f.u. Its formation energy is -0.566 eV per atom. The calculation puts the calculated density at 5457 kg/m3.

***

Record 4
This record from Alexandria via LeMat-Bulk describes crystalline Li2Ni12P7 at its relaxed geometry. The functional is PBE.

CIF file:
```
data_Li2Ni12P7
_space_group_name_H-M_alt 'P -6'
_space_group_IT_number 174
_space_group_name_Hall 'P -6'
_cell_length_a 9.0152
_cell_length_b 9.0152
_cell_length_c 3.5447
_cell_angle_alpha 90.00
_cell_angle_beta 90.00
_cell_angle_gamma 120.00
loop_
_atom_site_label
_atom_site_type_symbol
_atom_site_fract_x
_atom_site_fract_y
_atom_site_fract_z
Li1 Li 0.0000 0.0000 0.0000
Li2 Li 0.3333 0.6667 0.5000
Ni1 Ni 0.0504 0.7677 0.5000
Ni2 Ni 0.1015 0.3940 0.0000
Ni3 Ni 0.3893 0.2147 0.0000
Ni4 Ni 0.5403 0.1138 0.5000
P1 P 0.0837 0.6275 0.0000
P2 P 0.2540 0.0402 0.5000
P3 P 0.6667 0.3333 0.0000
```

Output
The calculation puts the density of states at the Fermi level at 10.27 states/eV/f.u. Its formation energy is -0.582 eV per atom. The calculation puts the calculated density at 6223 kg/m3. The calculation puts the energy above the most stable polymorph in this dataset at 0 meV per atom.

***

Record 5
This record from Alexandria via LeMat-Bulk describes crystalline LiNi3P at its relaxed geometry. The functional is PBE.

CIF file:
```
data_LiNi3P
_space_group_name_H-M_alt 'P m -3 m'
_space_group_IT_number 221
_space_group_name_Hall '-P 4 2 3'
_cell_length_a 4.169
_cell_length_b 4.169
_cell_length_c 4.169
_cell_angle_alpha 90.00
_cell_angle_beta 90.00
_cell_angle_gamma 90.00
loop_
_atom_site_label
_atom_site_type_symbol
_atom_site_fract_x
_atom_site_fract_y
_atom_site_fract_z
Li1 Li 0.000 0.000 0.000
Ni1 Ni 0.000 0.500 0.500
P1 P 0.500 0.500 0.500
```

Output
The calculation puts the density of states at the Fermi level at 6.45 states/eV/f.u. Its formation energy is -0.083 eV per atom. The calculation puts the calculated density at 4904 kg/m3. The calculation puts the energy above the most stable polymorph in this dataset at 0 meV per atom.

***

Going through the records in order, we get E values of -5.60 -5.22 -5.41 -5.87 -5.02 eV per atom.